(1)
CaTc2Br: optimized geometry, GGA-PBE.

Lattice parameters (Å, degrees): 6.2760 3.6883 3.6883 90.00 90.00 90.00
Closest atoms and distances in Å follow each position.
Positions (direct):
Ca  0.5000  0.0000  0.5000  4 Br 2.61
Tc  0.0000  0.0000  0.0000  4 Tc 2.61
Tc  0.0000  0.5000  0.5000  4 Tc 2.61
Br  0.5000  0.5000  0.0000  4 Ca 2.61

Summary:
uncorrected formation energy	1.795	eV/f.u.
DOS at the Fermi energy	3.6	states/eV/f.u.
relative energy among the computed polymorphs	0.511	eV/atom
space-group type	No. 123

(2)
Sn3PtS: optimized geometry, GGA-PBE.

Lattice parameters (Å, degrees): 5.1744 5.1744 5.1744 90.00 90.00 90.00
Closest atoms and distances in Å follow each position.
Positions (direct):
S  0.0000  0.0000  0.0000  6 Sn 2.59
Sn  0.0000  0.5000  0.0000  2 S 2.59
Sn  0.0000  0.0000  0.5000  2 S 2.59
Sn  0.5000  0.0000  0.0000  2 S 2.59
Pt  0.5000  0.5000  0.5000  12 Sn 3.66

Summary:
uncorrected formation energy	2.842	eV/f.u.
DOS at the Fermi energy	4.1	states/eV/f.u.
relative energy among the computed polymorphs	0.473	eV/atom
space-group type	No. 221

What is the formula in the first record? CaTc2Br

Which of these has the highest relative energy among the computed polymorphs? CaTc2Br